[1]
Pm3Si7Ni2: relaxed, PBE.

Computed properties:
DOS(E_F) ... 3.66 states/eV/cell
Total magnetization ... 0.0 μB per cell
E_tot ... -5.952 eV per atom

The structure in CIF format:
```
data_Pm3Si7Ni2
_space_group_name_H-M_alt 'P 1 2/m 1'
_space_group_IT_number 10
_cell_length_a 4.097
_cell_length_b 4.130
_cell_length_c 12.632
_cell_angle_alpha 90.00
_cell_angle_beta 98.62
_cell_angle_gamma 90.00
loop_
_space_group_symop_operation_xyz
'x,y,z'
'-x,-y,-z'
'-x,y,-z'
'x,-y,z'
loop_
_atom_site_label
_atom_site_fract_x
_atom_site_fract_y
_atom_site_fract_z
Pm1 0.000 0.000 0.000
Pm2 0.308 0.500 0.632
Si1 0.136 0.500 0.177
Si2 0.225 0.000 0.445
Si3 0.410 0.000 0.822
Si4 0.500 0.500 0.000
Ni1 0.125 0.000 0.258
```

=====

[2]
Sc6Ag5: relaxed, PBE.

Computed properties:
Energy of formation ... -0.1684 eV per atom
DOS(E_F) ... 17.61 states/eV/cell
Total magnetization ... 0.0 μB per cell
E_tot ... -4.918 eV per atom

The structure in CIF format:
```
data_Sc6Ag5
_space_group_name_H-M_alt 'I m m m'
_space_group_IT_number 71
_space_group_name_Hall '-I 2 2'
_cell_length_a 4.788
_cell_length_b 6.852
_cell_length_c 14.325
_cell_angle_alpha 90.00
_cell_angle_beta 90.00
_cell_angle_gamma 90.00
loop_
_atom_site_label
_atom_site_fract_x
_atom_site_fract_y
_atom_site_fract_z
Sc1 0.000 0.241 0.000
Sc2 0.000 0.257 0.340
Ag1 0.000 0.000 0.175
Ag2 0.000 0.000 0.500
Ag3 0.000 0.500 0.170
```

=====

[3]
Sm3CdSi2Pt9: relaxed, PBE.

Computed properties:
DOS(E_F) ... 5.97 states/eV/cell
Total magnetization ... 0.0 μB per cell
E_tot ... -6.111 eV per atom

The structure in CIF format:
```
data_Sm3CdSi2Pt9
_space_group_name_H-M_alt 'P -3 m 1'
_space_group_IT_number 164
_space_group_name_Hall '-P 3 2"'
_cell_length_a 5.7095
_cell_length_b 5.7095
_cell_length_c 11.1161
_cell_angle_alpha 90.00
_cell_angle_beta 90.00
_cell_angle_gamma 120.00
loop_
_atom_site_label
_atom_site_fract_x
_atom_site_fract_y
_atom_site_fract_z
Sm1 0.0000 0.0000 0.0000
Sm2 0.3333 0.6667 0.6044
Cd1 0.0000 0.0000 0.5000
Si1 0.3333 0.6667 0.1576
Pt1 0.0000 0.5000 0.0000
Pt2 0.1623 0.3245 0.3027
```

=====

[4]
Co2PtSe4: relaxed, PBE.

Computed properties:
DOS(E_F) ... 30.84 states/eV/cell
Total magnetization ... 0.0 μB per cell
E_tot ... -5.182 eV per atom

The structure in CIF format:
```
data_Co2PtSe4
_space_group_name_H-M_alt 'F d d d'
_space_group_IT_number 70
_cell_length_a 10.086
_cell_length_b 10.100
_cell_length_c 10.125
_cell_angle_alpha 90.00
_cell_angle_beta 90.00
_cell_angle_gamma 90.00
loop_
_space_group_symop_operation_xyz
'x,y,z'
'-x,-y,-z'
'-x+1/4,-y+1/4,z'
'x+1/4,y+1/4,-z'
'x,-y+1/4,-z+1/4'
'-x,y+1/4,z+1/4'
'-x+1/4,y,-z+1/4'
'x+1/4,-y,z+1/4'
'x,y+1/2,z+1/2'
'-x,-y+1/2,-z+1/2'
'-x+1/4,-y+3/4,z+1/2'
'x+1/4,y+3/4,-z+1/2'
'x,-y+3/4,-z+3/4'
'-x,y+3/4,z+3/4'
'-x+1/4,y+1/2,-z+3/4'
'x+1/4,-y+1/2,z+3/4'
'x+1/2,y,z+1/2'
'-x+1/2,-y,-z+1/2'
'-x+3/4,-y+1/4,z+1/2'
'x+3/4,y+1/4,-z+1/2'
'x+1/2,-y+1/4,-z+3/4'
'-x+1/2,y+1/4,z+3/4'
'-x+3/4,y,-z+3/4'
'x+3/4,-y,z+3/4'
'x+1/2,y+1/2,z'
'-x+1/2,-y+1/2,-z'
'-x+3/4,-y+3/4,z'
'x+3/4,y+3/4,-z'
'x+1/2,-y+3/4,-z+1/4'
'-x+1/2,y+3/4,z+1/4'
'-x+3/4,y+1/2,-z+1/4'
'x+3/4,-y+1/2,z+1/4'
loop_
_atom_site_label
_atom_site_fract_x
_atom_site_fract_y
_atom_site_fract_z
Co1 0.000 0.000 0.000
Pt1 0.125 0.125 0.625
Se1 0.014 0.014 0.235
```

=====

[5]
TcNi2Pt: relaxed, PBE.

Computed properties:
Energy of formation ... 0.4919 eV per atom
DOS(E_F) ... 22.62 states/eV/cell
Polymorph energy (0 for the lowest one) ... 13.20 kcal/mol of atoms
Total magnetization ... 1.6 μB per cell
E_tot ... -6.500 eV per atom

The structure in CIF format:
```
data_TcNi2Pt
_space_group_name_H-M_alt 'I -4 2 d'
_space_group_IT_number 122
_space_group_name_Hall 'I -4 2bw'
_cell_length_a 6.602
_cell_length_b 6.602
_cell_length_c 5.233
_cell_angle_alpha 90.00
_cell_angle_beta 90.00
_cell_angle_gamma 90.00
loop_
_atom_site_label
_atom_site_fract_x
_atom_site_fract_y
_atom_site_fract_z
Tc1 0.000 0.000 0.000
Ni1 0.235 0.250 0.125
Pt1 0.000 0.000 0.500
```

=====

[6]
Ce2DyC2Br2: relaxed, PBE.

Computed properties:
DOS(E_F) ... 13.37 states/eV/cell
Total magnetization ... 2.1 μB per cell
E_tot ... -6.124 eV per atom

The structure in CIF format:
```
data_Ce2DyC2Br2
_space_group_name_H-M_alt 'I 4/m m m'
_space_group_IT_number 139
_space_group_name_Hall '-I 4 2'
_cell_length_a 4.608
_cell_length_b 4.608
_cell_length_c 14.988
_cell_angle_alpha 90.00
_cell_angle_beta 90.00
_cell_angle_gamma 90.00
loop_
_atom_site_label
_atom_site_fract_x
_atom_site_fract_y
_atom_site_fract_z
Ce1 0.000 0.000 0.092
Dy1 0.000 0.000 0.500
C1 0.000 0.500 0.000
Br1 0.000 0.000 0.305
```

=====

[7]
CaZn4Pt: relaxed, PBE.

Computed properties:
Energy of formation ... -0.4119 eV per atom
DOS(E_F) ... 1.16 states/eV/cell
Polymorph energy (0 for the lowest one) ... 0.00 kcal/mol of atoms
Total magnetization ... 0.0 μB per cell
E_tot ... -2.602 eV per atom

The structure in CIF format:
```
data_CaZn4Pt
_space_group_name_H-M_alt 'F -4 3 m'
_space_group_IT_number 216
_space_group_name_Hall 'F -4 2 3'
_cell_length_a 7.288
_cell_length_b 7.288
_cell_length_c 7.288
_cell_angle_alpha 90.00
_cell_angle_beta 90.00
_cell_angle_gamma 90.00
loop_
_atom_site_label
_atom_site_fract_x
_atom_site_fract_y
_atom_site_fract_z
Ca1 0.000 0.000 0.000
Zn1 0.124 0.124 0.376
Pt1 0.250 0.250 0.750
```

=====

[8]
Si2AgPt: relaxed, PBE.

Computed properties:
DOS(E_F) ... 7.52 states/eV/cell
Polymorph energy (0 for the lowest one) ... 5.92 kcal/mol of atoms
Total magnetization ... 0.0 μB per cell
E_tot ... -4.802 eV per atom

The structure in CIF format:
```
data_Si2AgPt
_space_group_name_H-M_alt 'I -4 2 d'
_space_group_IT_number 122
_space_group_name_Hall 'I -4 2bw'
_cell_length_a 6.019
_cell_length_b 6.019
_cell_length_c 9.373
_cell_angle_alpha 90.00
_cell_angle_beta 90.00
_cell_angle_gamma 90.00
loop_
_atom_site_label
_atom_site_fract_x
_atom_site_fract_y
_atom_site_fract_z
Si1 0.224 0.250 0.125
Ag1 0.000 0.000 0.500
Pt1 0.000 0.000 0.000
```

=====

[9]
Tb5Rh2Pb2: relaxed, PBE.

Computed properties:
Energy of formation ... -0.6288 eV per atom
DOS(E_F) ... 23.27 states/eV/cell
Total magnetization ... 0.0 μB per cell
E_tot ... -5.659 eV per atom

The structure in CIF format:
```
data_Tb5Rh2Pb2
_space_group_name_H-M_alt 'C m c e'
_space_group_IT_number 64
_space_group_name_Hall '-C 2ac 2'
_cell_length_a 15.674
_cell_length_b 8.525
_cell_length_c 7.232
_cell_angle_alpha 90.00
_cell_angle_beta 90.00
_cell_angle_gamma 90.00
loop_
_atom_site_label
_atom_site_fract_x
_atom_site_fract_y
_atom_site_fract_z
Tb1 0.000 0.000 0.000
Tb2 0.118 0.178 0.353
Rh1 0.000 0.126 0.641
Pb1 0.213 0.000 0.000
```

=====

[10]
Li2Cd2Fe: relaxed, PBE.

Computed properties:
Energy of formation ... 0.2821 eV per atom
DOS(E_F) ... 10.07 states/eV/cell
Polymorph energy (0 for the lowest one) ... 2.35 kcal/mol of atoms
Total magnetization ... 6.0 μB per cell
E_tot ... -2.542 eV per atom

The structure in CIF format:
```
data_Li2Cd2Fe
_space_group_name_H-M_alt 'I 4/m m m'
_space_group_IT_number 139
_space_group_name_Hall '-I 4 2'
_cell_length_a 3.490
_cell_length_b 3.490
_cell_length_c 14.629
_cell_angle_alpha 90.00
_cell_angle_beta 90.00
_cell_angle_gamma 90.00
loop_
_atom_site_label
_atom_site_fract_x
_atom_site_fract_y
_atom_site_fract_z
Li1 0.000 0.500 0.250
Cd1 0.000 0.000 0.100
Fe1 0.000 0.000 0.500
```

=====

[11]
Mn2AsOs: relaxed, PBE.

Computed properties:
Energy of formation ... 0.2749 eV per atom
DOS(E_F) ... 12.58 states/eV/cell
Total magnetization ... 0.8 μB per cell
E_tot ... -8.280 eV per atom

The structure in CIF format:
```
data_Mn2AsOs
_space_group_name_H-M_alt 'R 3 m'
_space_group_IT_number 160
_space_group_name_Hall 'R 3 -2"'
_cell_length_a 2.8106
_cell_length_b 2.8106
_cell_length_c 24.2014
_cell_angle_alpha 90.00
_cell_angle_beta 90.00
_cell_angle_gamma 120.00
loop_
_atom_site_label
_atom_site_fract_x
_atom_site_fract_y
_atom_site_fract_z
Mn1 0.0000 0.0000 0.0000
Mn2 0.0000 0.0000 0.2536
As1 0.0000 0.0000 0.5046
Os1 0.0000 0.0000 0.7520
```

=====

[12]
AcPu2PdPt2: relaxed, PBE.

Computed properties:
Energy of formation ... -0.7216 eV per atom
DOS(E_F) ... 23.45 states/eV/cell
Total magnetization ... 11.0 μB per cell
E_tot ... -9.063 eV per atom

The structure in CIF format:
```
data_AcPu2PdPt2
_space_group_name_H-M_alt 'P -3 m 1'
_space_group_IT_number 164
_space_group_name_Hall '-P 3 2"'
_cell_length_a 4.8382
_cell_length_b 4.8382
_cell_length_c 7.2428
_cell_angle_alpha 90.00
_cell_angle_beta 90.00
_cell_angle_gamma 120.00
loop_
_atom_site_label
_atom_site_fract_x
_atom_site_fract_y
_atom_site_fract_z
Ac1 0.0000 0.0000 0.0000
Pu1 0.3333 0.6667 0.6507
Pd1 0.0000 0.0000 0.5000
Pt1 0.3333 0.6667 0.2342
```

=====

[13]
LaNpFe4: relaxed, PBE.

Computed properties:
Energy of formation ... 0.0933 eV per atom
DOS(E_F) ... 43.71 states/eV/cell
Total magnetization ... 14.0 μB per cell
E_tot ... -8.527 eV per atom

The structure in CIF format:
```
data_LaNpFe4
_space_group_name_H-M_alt 'F -4 3 m'
_space_group_IT_number 216
_space_group_name_Hall 'F -4 2 3'
_cell_length_a 7.269
_cell_length_b 7.269
_cell_length_c 7.269
_cell_angle_alpha 90.00
_cell_angle_beta 90.00
_cell_angle_gamma 90.00
loop_
_atom_site_label
_atom_site_fract_x
_atom_site_fract_y
_atom_site_fract_z
La1 0.000 0.000 0.000
Np1 0.250 0.250 0.750
Fe1 0.124 0.124 0.376
```

=====

[14]
Sr5Ga2Bi: relaxed, PBE.

Computed properties:
Energy of formation ... -0.5121 eV per atom
DOS(E_F) ... 29.63 states/eV/cell
Total magnetization ... 4.8 μB per cell
E_tot ... -2.805 eV per atom

The structure in CIF format:
```
data_Sr5Ga2Bi
_space_group_name_H-M_alt 'I 4/m c m'
_space_group_IT_number 140
_space_group_name_Hall '-I 4 2c'
_cell_length_a 8.561
_cell_length_b 8.561
_cell_length_c 15.919
_cell_angle_alpha 90.00
_cell_angle_beta 90.00
_cell_angle_gamma 90.00
loop_
_atom_site_label
_atom_site_fract_x
_atom_site_fract_y
_atom_site_fract_z
Sr1 0.000 0.000 0.000
Sr2 0.173 0.327 0.140
Ga1 0.110 0.390 0.500
Bi1 0.000 0.000 0.250
```

=====

[15]
ScTeN3: relaxed, PBE.

Computed properties:
DOS(E_F) ... 1.15 states/eV/cell
Total magnetization ... 0.0 μB per cell
E_tot ... -6.258 eV per atom

The structure in CIF format:
```
data_ScTeN3
_space_group_name_H-M_alt 'P m -3 m'
_space_group_IT_number 221
_space_group_name_Hall '-P 4 2 3'
_cell_length_a 3.927
_cell_length_b 3.927
_cell_length_c 3.927
_cell_angle_alpha 90.00
_cell_angle_beta 90.00
_cell_angle_gamma 90.00
loop_
_atom_site_label
_atom_site_fract_x
_atom_site_fract_y
_atom_site_fract_z
Sc1 0.000 0.000 0.000
Te1 0.500 0.500 0.500
N1 0.000 0.500 0.500
```

=====

[16]
SiNiAg: relaxed, PBE.

Computed properties:
DOS(E_F) ... 1.14 states/eV/cell
Polymorph energy (0 for the lowest one) ... 0.71 kcal/mol of atoms
Total magnetization ... 0.0 μB per cell
E_tot ... -4.706 eV per atom

The structure in CIF format:
```
data_SiNiAg
_space_group_name_H-M_alt 'P -6 m 2'
_space_group_IT_number 187
_space_group_name_Hall 'P -6 2'
_cell_length_a 4.0130
_cell_length_b 4.0130
_cell_length_c 3.0490
_cell_angle_alpha 90.00
_cell_angle_beta 90.00
_cell_angle_gamma 120.00
loop_
_atom_site_label
_atom_site_fract_x
_atom_site_fract_y
_atom_site_fract_z
Si1 0.0000 0.0000 0.0000
Ni1 0.3333 0.6667 0.0000
Ag1 0.6667 0.3333 0.5000
```

=====

[17]
PrHo3As4: relaxed, PBE.

Computed properties:
Energy of formation ... -1.5087 eV per atom
DOS(E_F) ... 1.72 states/eV/cell
Total magnetization ... 0.0 μB per cell
E_tot ... -6.148 eV per atom

The structure in CIF format:
```
data_PrHo3As4
_space_group_name_H-M_alt 'C m m m'
_space_group_IT_number 65
_space_group_name_Hall '-C 2 2'
_cell_length_a 8.309
_cell_length_b 11.745
_cell_length_c 4.157
_cell_angle_alpha 90.00
_cell_angle_beta 90.00
_cell_angle_gamma 90.00
loop_
_atom_site_label
_atom_site_fract_x
_atom_site_fract_y
_atom_site_fract_z
Pr1 0.000 0.000 0.000
Ho1 0.000 0.500 0.000
Ho2 0.250 0.250 0.500
As1 0.000 0.254 0.000
As2 0.241 0.500 0.500
```

=====

[18]
Ba3Au2Cl: relaxed, PBE.

Computed properties:
DOS(E_F) ... 18.96 states/eV/cell
Total magnetization ... 1.2 μB per cell
E_tot ... -3.238 eV per atom

The structure in CIF format:
```
data_Ba3Au2Cl
_space_group_name_H-M_alt 'C m c m'
_space_group_IT_number 63
_space_group_name_Hall '-C 2c 2'
_cell_length_a 4.826
_cell_length_b 16.111
_cell_length_c 12.341
_cell_angle_alpha 90.00
_cell_angle_beta 90.00
_cell_angle_gamma 90.00
loop_
_atom_site_label
_atom_site_fract_x
_atom_site_fract_y
_atom_site_fract_z
Ba1 0.000 0.127 0.061
Ba2 0.000 0.371 0.250
Au1 0.000 0.007 0.750
Au2 0.000 0.500 0.000
Cl1 0.000 0.275 0.750
```

=====

[19]
Pa8Te4P3C: relaxed, PBE.

Computed properties:
DOS(E_F) ... 80.42 states/eV/cell
Total magnetization ... 0.0 μB per cell
E_tot ... -8.024 eV per atom

The structure in CIF format:
```
data_Pa8Te4P3C
_space_group_name_H-M_alt 'R -3 m'
_space_group_IT_number 166
_space_group_name_Hall '-R 3 2"'
_cell_length_a 7.9095
_cell_length_b 7.9095
_cell_length_c 21.7034
_cell_angle_alpha 90.00
_cell_angle_beta 90.00
_cell_angle_gamma 120.00
loop_
_atom_site_label
_atom_site_fract_x
_atom_site_fract_y
_atom_site_fract_z
Pa1 0.0000 0.0000 0.2368
Pa2 0.0193 0.5096 0.2326
Te1 0.0000 0.0000 0.0000
Te2 0.0000 0.5000 0.0000
P1 0.0000 0.5000 0.5000
C1 0.0000 0.0000 0.5000
```